# 1
First-principles (PBE-GGA) data for crystalline SbTeF at its relaxed geometry, as listed in Alexandria.

a b c (Å): 4.110 6.162 6.734
angles (deg): 116.95 90.00 90.00
Element x y z (fractional)
Te: 0.750 0.649 0.296
Te: 0.250 0.351 0.704
Sb: 0.250 0.835 0.670
Sb: 0.750 0.165 0.330
F: 0.750 0.926 0.854
F: 0.250 0.074 0.146

Results
Formation energy from raw total energies: -2.92 eV per formula unit

# 2
First-principles (PBE-GGA) data for crystalline Zn4CoSe5 at its relaxed geometry, as listed in Alexandria.

a b c (Å): 6.981 6.981 9.879
angles (deg): 61.87 61.87 33.55
Last column: magnetic moment on the atom in μB.
Element x y z (fractional)
Zn: 0.599 0.599 0.603  0.01
Zn: 0.798 0.798 0.802  0.02
Zn: 0.202 0.202 0.199  0.02
Zn: 0.401 0.401 0.396  0.01
Se: 0.405 0.405 0.142  0.13
Se: 0.195 0.195 0.952  0.07
Se: 0.998 0.998 0.757  0.08
Se: 0.801 0.801 0.549  0.02
Se: 0.601 0.601 0.351  0.02
Co: 0.000 0.000 0.000  2.23

Results
Formation energy from raw total energies: -5.47 eV per formula unit

# 3
First-principles (PBE-GGA) data for crystalline Pm4DyTm at its relaxed geometry, as listed in Alexandria.

a b c (Å): 6.133 5.805 12.018
angles (deg): 103.97 104.78 90.00
Element x y z (fractional)
Tm: 0.171 0.750 0.000
Tm: 0.829 0.250 0.000
Pm: 0.034 0.587 0.674
Pm: 0.360 0.913 0.326
Pm: 0.966 0.413 0.326
Pm: 0.640 0.087 0.674
Pm: 0.402 0.330 0.161
Pm: 0.598 0.670 0.839
Pm: 0.759 0.830 0.161
Pm: 0.241 0.170 0.839
Dy: 0.000 0.000 0.500
Dy: 0.500 0.500 0.500

Results
E_form: 0.0678 eV/atom

# 4
First-principles (PBE-GGA) data for crystalline Pr6BiAs3Se2 at its relaxed geometry, as listed in Alexandria.

a b c (Å): 4.348 8.740 9.756
angles (deg): 103.43 102.88 90.00
Element x y z (fractional)
Se: 0.169 0.336 0.337
Se: 0.831 0.664 0.663
Pr: 0.336 0.411 0.671
Pr: 0.999 0.265 0.998
Pr: 0.673 0.080 0.345
Pr: 0.001 0.735 0.002
Pr: 0.327 0.920 0.655
Pr: 0.664 0.589 0.329
As: 0.166 0.831 0.331
As: 0.500 0.500 0.000
As: 0.834 0.169 0.669
Bi: 0.500 0.000 0.000

Results
Formation energy from raw total energies: -18.60 eV per formula unit

# 5
First-principles (PBE-GGA) data for crystalline RbCoSCl2 at its relaxed geometry, as listed in Alexandria.

a b c (Å): 5.168 5.168 4.394
angles (deg): 90.00 90.00 90.00
Last column: magnetic moment on the atom in μB.
Element x y z (fractional)
S: 0.000 0.000 0.500  0.43
Cl: 0.000 0.500 0.000  0.08
Cl: 0.500 0.000 0.000  0.08
Co: 0.000 0.000 0.000  2.13
Rb: 0.500 0.500 0.500  0.00

Results
Formation energy from raw total energies: -3.74 eV per formula unit

# 6
First-principles (PBE-GGA) data for crystalline Mg2Cd2Ir at its relaxed geometry, as listed in Alexandria.

a b c (Å): 3.235 3.235 9.259
angles (deg): 100.06 100.06 90.00
Element x y z (fractional)
Mg: 0.419 0.419 0.839
Mg: 0.581 0.581 0.161
Cd: 0.193 0.193 0.386
Cd: 0.807 0.807 0.614
Ir: 0.000 0.000 0.000

Results
E_form: -0.2204 eV/atom

# 7
First-principles (PBE-GGA) data for crystalline KNd2Sm3Se6 at its relaxed geometry, as listed in Alexandria.

a b c (Å): 4.204 8.598 9.515
angles (deg): 103.35 102.76 90.00
Element x y z (fractional)
Se: 0.336 0.413 0.673
Se: 0.001 0.265 0.002
Se: 0.999 0.735 0.998
Se: 0.328 0.918 0.655
Se: 0.664 0.587 0.327
Se: 0.672 0.082 0.345
Sm: 0.500 0.500 0.000
Sm: 0.836 0.176 0.672
Sm: 0.164 0.824 0.328
Nd: 0.830 0.655 0.659
Nd: 0.170 0.345 0.341
K: 0.500 0.000 0.000

Results
Formation energy from raw total energies: -21.41 eV per formula unit

# 8
First-principles (PBE-GGA) data for crystalline Hf2CrNi2 at its relaxed geometry, as listed in Alexandria.

a b c (Å): 4.813 4.813 5.082
angles (deg): 61.73 61.73 90.00
Last column: magnetic moment on the atom in μB.
Element x y z (fractional)
Ni: 0.357 0.357 0.286  0.16
Ni: 0.643 0.643 0.714  0.16
Cr: 0.000 0.000 0.000  3.41
Hf: 0.250 0.750 0.500  -0.08
Hf: 0.750 0.250 0.500  -0.08

Results
E_form: 0.0534 eV/atom

Copy entry 4 word for word.
First-principles (PBE-GGA) data for crystalline Pr6BiAs3Se2 at its relaxed geometry, as listed in Alexandria.

a b c (Å): 4.348 8.740 9.756
angles (deg): 103.43 102.88 90.00
Element x y z (fractional)
Se: 0.169 0.336 0.337
Se: 0.831 0.664 0.663
Pr: 0.336 0.411 0.671
Pr: 0.999 0.265 0.998
Pr: 0.673 0.080 0.345
Pr: 0.001 0.735 0.002
Pr: 0.327 0.920 0.655
Pr: 0.664 0.589 0.329
As: 0.166 0.831 0.331
As: 0.500 0.500 0.000
As: 0.834 0.169 0.669
Bi: 0.500 0.000 0.000

Results
Formation energy from raw total energies: -18.60 eV per formula unit

Copy entry 3 word for word.
First-principles (PBE-GGA) data for crystalline Pm4DyTm at its relaxed geometry, as listed in Alexandria.

a b c (Å): 6.133 5.805 12.018
angles (deg): 103.97 104.78 90.00
Element x y z (fractional)
Tm: 0.171 0.750 0.000
Tm: 0.829 0.250 0.000
Pm: 0.034 0.587 0.674
Pm: 0.360 0.913 0.326
Pm: 0.966 0.413 0.326
Pm: 0.640 0.087 0.674
Pm: 0.402 0.330 0.161
Pm: 0.598 0.670 0.839
Pm: 0.759 0.830 0.161
Pm: 0.241 0.170 0.839
Dy: 0.000 0.000 0.500
Dy: 0.500 0.500 0.500

Results
E_form: 0.0678 eV/atom